{
  "formula": "TeMoN3",
  "functional": "GGA-PBE",
  "state": "relaxed",
  "raw_formation_energy_ev_per_atom": 1.801,
  "cell": [[3.947, 0.000, 0.000], [0.000, 3.947, 0.000], [0.000, 0.000, 3.947]],
  "species": ["Mo", "N", "N", "N", "Te"],
  "fractional_positions": [[0.500, 0.500, 0.500], [0.000, 0.500, 0.000], [0.000, 0.000, 0.500], [0.500, 0.000, 0.000], [0.000, 0.000, 0.000]]
}

***

{
  "formula": "TeMoN",
  "functional": "GGA-PBE",
  "state": "relaxed",
  "raw_formation_energy_ev_per_atom": -0.066,
  "relative_energy_kj_per_mol_fu": 0,
  "cell": [[3.509, 0.000, 0.000], [0.000, 3.509, 0.000], [0.000, 0.000, 9.353]],
  "species": ["Te", "Te", "N", "N", "Mo", "Mo"],
  "fractional_positions": [[0.000, 0.500, 0.299], [0.500, 0.000, 0.701], [0.500, 0.500, 0.000], [0.000, 0.000, 0.000], [0.500, 0.000, 0.112], [0.000, 0.500, 0.888]]
}

***

{
  "formula": "TeMoN",
  "functional": "GGA-PBE",
  "state": "relaxed",
  "raw_formation_energy_ev_per_atom": 0.161,
  "relative_energy_kj_per_mol_fu": 66,
  "cell": [[-2.018, -0.342, 2.723], [1.546, -2.925, 0.779], [9.826, 5.338, 7.952]],
  "species": ["Mo", "Mo", "N", "N", "Te", "Te"],
  "fractional_positions": [[0.250, 0.599, 0.802], [0.750, 0.401, 0.198], [0.750, 0.929, 0.142], [0.250, 0.071, 0.858], [0.250, 0.325, 0.350], [0.750, 0.675, 0.650]]
}

***

{
  "formula": "TeMoN3",
  "functional": "GGA-PBE",
  "state": "relaxed",
  "raw_formation_energy_ev_per_atom": 0.937,
  "cell": [[-2.214, -0.513, 3.289], [-0.165, -3.928, -0.723], [3.324, -0.536, 2.154]],
  "species": ["N", "N", "N", "Mo", "Te"],
  "fractional_positions": [[0.000, 0.000, 0.500], [0.000, 0.500, 0.000], [0.500, 0.000, 0.000], [0.000, 0.000, 0.000], [0.500, 0.500, 0.500]]
}